## SmEuGdTl (PBE)

Data for a geometry-optimized SmEuGdTl structure.

```
SmEuGdTl
1.0
5.5800 0.0000 0.0000
2.7900 4.8324 0.0000
2.7900 1.6108 4.5560
Eu Sm Tl Gd
1 1 1 1
direct
0.5000 0.5000 0.5000
0.7500 0.7500 0.7500
0.0000 0.0000 0.0000
0.2500 0.2500 0.2500
```

Formation enthalpy at 0 K, eV per atom: -0.063
Mass density, g/cm3: 8.97
Magnetization, μB/cell: 0.3
Electronic total energy, eV per atom: -7.92